A plane-wave DFT calculation with PBE with a Hubbard U was carried out for a relaxed structure of K2Co3PbF12.

Unit cell a=7.299 b=7.299 c=7.299 alpha=61.78 beta=61.78 gamma=61.78
Last column: magnetic moment on the atom in μB.
Atoms (fractional coordinates):
K: 0.624 0.624 0.624  0.00
K: 0.376 0.376 0.376  0.00
Co: 0.500 0.000 0.000  3.15
Co: 0.000 0.500 0.000  3.15
Co: 0.000 0.000 0.500  3.15
Pb: 0.000 0.000 0.000  0.01
F: 0.278 0.278 0.901  0.14
F: 0.877 0.877 0.416  0.09
F: 0.416 0.877 0.877  0.09
F: 0.901 0.278 0.278  0.14
F: 0.877 0.416 0.877  0.09
F: 0.278 0.901 0.278  0.14
F: 0.722 0.722 0.099  0.14
F: 0.123 0.123 0.584  0.09
F: 0.584 0.123 0.123  0.09
F: 0.099 0.722 0.722  0.14
F: 0.123 0.584 0.123  0.09
F: 0.722 0.099 0.722  0.14

Computed properties:
DOS at the Fermi energy ... 5.50 states/eV/f.u.
Theoretical density ... 4.0 g/cm3
M_tot ... 11.000 Bohr magnetons per cell
Volume ... 285.93 Å³ per cell
VASP energy ... -0.34395 Ry per atom
Crystal system ... trigonal